No. 1
A relaxed structure of PmPrPuSn, computed with PBE.

ΔE_f   -0.0970 eV/atom
DOS(E_F)   13.8 states/eV/f.u.
Total magnetic moment   7.18 μB/f.u.
E   -7.063 eV per atom

Structure (POSCAR):
```
PmPrPuSn
1.0
0.000 3.898 3.898
3.898 0.000 3.898
3.898 3.898 0.000
Pm Pr Pu Sn
1 1 1 1
Direct
0.000 0.000 0.000
0.750 0.750 0.750
0.500 0.500 0.500
0.250 0.250 0.250
```



No. 2
A relaxed structure of Tb6Pm3Pr2Pu, computed with PBE.

ΔE_f   0.0463 eV/atom
DOS(E_F)   23.7 states/eV/f.u.
Total magnetic moment   6.45 μB/f.u.
E   -5.447 eV per atom

Structure (POSCAR):
```
Tb6Pm3Pr2Pu
1.0
3.120 -5.410 0.000
3.120 5.410 0.000
-2.089 0.000 11.651
Tb Pm Pr Pu
6 3 2 1
Direct
0.083 0.411 0.748
0.246 0.246 0.251
0.411 0.083 0.748
0.589 0.917 0.252
0.754 0.754 0.749
0.917 0.589 0.252
0.167 0.833 0.000
0.500 0.500 0.000
0.833 0.167 0.000
0.333 0.667 0.500
0.667 0.333 0.500
0.000 0.000 0.500
```



No. 3
A relaxed structure of PmPr2Pu3Te6, computed with PBE.

Raw formation energy   -1.273 eV/atom
DOS(E_F)   35.3 states/eV/f.u.
Total magnetic moment   5.79 μB/f.u.
E   -7.620 eV per atom

Structure (POSCAR):
```
PmPr2Pu3Te6
1.0
9.740 -2.230 0.000
9.740 2.230 0.000
-2.011 0.000 8.728
Pm Pr Pu Te
1 2 3 6
Direct
0.000 0.000 0.000
0.334 0.334 0.664
0.666 0.666 0.336
0.000 0.000 0.500
0.332 0.332 0.165
0.668 0.668 0.835
0.165 0.165 0.590
0.167 0.167 0.079
0.498 0.498 0.251
0.502 0.502 0.749
0.833 0.833 0.921
0.835 0.835 0.410
```



Q: Number 1 is which compound?
A: PmPrPuSn



Q: Among the records above, which one has the highest DOS(E_F)?
A: PmPr2Pu3Te6



What did the third record say?
A relaxed structure of PmPr2Pu3Te6, computed with PBE.

Raw formation energy   -1.273 eV/atom
DOS(E_F)   35.3 states/eV/f.u.
Total magnetic moment   5.79 μB/f.u.
E   -7.620 eV per atom

Structure (POSCAR):
```
PmPr2Pu3Te6
1.0
9.740 -2.230 0.000
9.740 2.230 0.000
-2.011 0.000 8.728
Pm Pr Pu Te
1 2 3 6
Direct
0.000 0.000 0.000
0.334 0.334 0.664
0.666 0.666 0.336
0.000 0.000 0.500
0.332 0.332 0.165
0.668 0.668 0.835
0.165 0.165 0.590
0.167 0.167 0.079
0.498 0.498 0.251
0.502 0.502 0.749
0.833 0.833 0.921
0.835 0.835 0.410
```